Entry 1:
Material: In2RuF2
Method: DFT, GGA-PBE
State: optimized geometry

Cell and atoms, written as CIF:
```
data_In2RuF2
_space_group_name_H-M_alt 'I 4/m m m'
_space_group_IT_number 139
_space_group_name_Hall '-I 4 2'
_cell_length_a 3.387
_cell_length_b 3.387
_cell_length_c 12.975
_cell_angle_alpha 90.00
_cell_angle_beta 90.00
_cell_angle_gamma 90.00
loop_
_atom_site_label
_atom_site_type_symbol
_atom_site_fract_x
_atom_site_fract_y
_atom_site_fract_z
_atom_site_occupancy
In1 In 0.000 0.000 0.123 1
Ru1 Ru 0.000 0.000 0.500 1
F1 F 0.000 0.500 0.250 1
```

Summary:
DFT total energy (eV per atom): -4.761
Excess energy over the best structure of this formula in the dataset (meV per atom): 0

***

Entry 2:
Material: InRu3F
Method: DFT, GGA-PBE
State: optimized geometry

Cell and atoms, written as CIF:
```
data_InRu3F
_space_group_name_H-M_alt 'P m -3 m'
_space_group_IT_number 221
_space_group_name_Hall '-P 4 2 3'
_cell_length_a 4.248
_cell_length_b 4.248
_cell_length_c 4.248
_cell_angle_alpha 90.00
_cell_angle_beta 90.00
_cell_angle_gamma 90.00
loop_
_atom_site_label
_atom_site_type_symbol
_atom_site_fract_x
_atom_site_fract_y
_atom_site_fract_z
_atom_site_occupancy
In1 In 0.000 0.000 0.000 1
Ru1 Ru 0.000 0.500 0.500 1
F1 F 0.500 0.500 0.500 1
```

Summary:
DFT total energy (eV per atom): -5.699
Excess energy over the best structure of this formula in the dataset (meV per atom): 0

***

Number 1: raw formation energy -1.062 eV/atom. Number 2: raw formation energy 0.788 eV/atom.